Zr2PaCrO8 | PBE+U | relaxed

Values from the calculation:
Size of the total moment   0.250 μB per atom
Symmetry   Cmmm, No. 65
E   -9.219 eV/atom

Lattice parameters (Å, degrees): 4.9237 4.9237 6.5716 90.00 90.00 90.27
Sites, in units of the cell vectors:
Zr1 0.0000 0.0000 0.2368
Zr2 0.0000 0.0000 0.7632
Pa1 0.5000 0.5000 0.5000
Cr1 0.5000 0.5000 0.0000
O1 0.1870 0.8130 0.5000
O2 0.1997 0.8003 0.0000
O3 0.3079 0.3079 0.2372
O4 0.3079 0.3079 0.7628
O5 0.6921 0.6921 0.2372
O6 0.6921 0.6921 0.7628
O7 0.8003 0.1997 0.0000
O8 0.8130 0.1870 0.5000